[1]
# V4GaCo2 (PBE-GGA, relaxed)
# * raw total energy: -0.5433 Ry/atom
# * total moment: 0.00 μB per cell
# * formation energy: 0.28 eV/atom
# * volume: 14.44 Å³/atom
# * mass density: 6.43 g/cm3
data_V4GaCo2
_cell_length_a 3.6343
_cell_length_b 3.6343
_cell_length_c 26.5130
_cell_angle_alpha 90.00
_cell_angle_beta 90.00
_cell_angle_gamma 120.00
_symmetry_space_group_name_H-M 'R -3 m'
_symmetry_Int_Tables_number 166
_symmetry_space_group_name_Hall '-R 3 2"'
loop_
_atom_site_label
_atom_site_type_symbol
_atom_site_fract_x
_atom_site_fract_y
_atom_site_fract_z
V1 V 0.0000 0.0000 0.1109
V2 V 0.0000 0.0000 0.3003
Ga1 Ga 0.0000 0.0000 0.5000
Co1 Co 0.0000 0.0000 0.4000

***

[2]
# CsRbAg (PBE-GGA, relaxed)
# * raw total energy: -0.1089 Ry/atom
# * ΔE to the lowest computed polymorph: 0.055 eV per atom
# * total moment: 0.00 μB per cell
# * formation energy: 0.08 eV/atom
# * volume: 56.18 Å³/atom
# * mass density: 3.21 g/cm3
data_CsRbAg
_cell_length_a 7.426
_cell_length_b 14.185
_cell_length_c 25.600
_cell_angle_alpha 90.00
_cell_angle_beta 90.00
_cell_angle_gamma 90.00
_symmetry_space_group_name_H-M 'F d d d'
_symmetry_Int_Tables_number 70
loop_
_symmetry_equiv_pos_as_xyz
'x,y,z'
'-x,-y,-z'
'-x+1/4,-y+1/4,z'
'x+1/4,y+1/4,-z'
'x,-y+1/4,-z+1/4'
'-x,y+1/4,z+1/4'
'-x+1/4,y,-z+1/4'
'x+1/4,-y,z+1/4'
'x,y+1/2,z+1/2'
'-x,-y+1/2,-z+1/2'
'-x+1/4,-y+3/4,z+1/2'
'x+1/4,y+3/4,-z+1/2'
'x,-y+3/4,-z+3/4'
'-x,y+3/4,z+3/4'
'-x+1/4,y+1/2,-z+3/4'
'x+1/4,-y+1/2,z+3/4'
'x+1/2,y,z+1/2'
'-x+1/2,-y,-z+1/2'
'-x+3/4,-y+1/4,z+1/2'
'x+3/4,y+1/4,-z+1/2'
'x+1/2,-y+1/4,-z+3/4'
'-x+1/2,y+1/4,z+3/4'
'-x+3/4,y,-z+3/4'
'x+3/4,-y,z+3/4'
'x+1/2,y+1/2,z'
'-x+1/2,-y+1/2,-z'
'-x+3/4,-y+3/4,z'
'x+3/4,y+3/4,-z'
'x+1/2,-y+3/4,-z+1/4'
'-x+1/2,y+3/4,z+1/4'
'-x+3/4,y+1/2,-z+1/4'
'x+3/4,-y+1/2,z+1/4'
loop_
_atom_site_label
_atom_site_type_symbol
_atom_site_fract_x
_atom_site_fract_y
_atom_site_fract_z
Cs1 Cs 0.125 0.280 0.125
Rb1 Rb 0.125 0.125 0.533
Ag1 Ag 0.125 0.125 0.252

***

[3]
# LuPuGeRh (PBE-GGA, relaxed)
# * raw total energy: -0.6053 Ry/atom
# * total moment: 19.25 μB per cell
# * formation energy: -0.53 eV/atom
# * volume: 20.92 Å³/atom
# * mass density: 11.80 g/cm3
data_LuPuGeRh
_cell_length_a 6.943
_cell_length_b 6.943
_cell_length_c 6.943
_cell_angle_alpha 90.00
_cell_angle_beta 90.00
_cell_angle_gamma 90.00
_symmetry_space_group_name_H-M 'F -4 3 m'
_symmetry_Int_Tables_number 216
_symmetry_space_group_name_Hall 'F -4 2 3'
loop_
_atom_site_label
_atom_site_type_symbol
_atom_site_fract_x
_atom_site_fract_y
_atom_site_fract_z
Lu1 Lu 0.000 0.000 0.000
Pu1 Pu 0.000 0.000 0.500
Ge1 Ge 0.250 0.250 0.250
Rh1 Rh 0.250 0.250 0.750

***

[4]
# ScAlGa6 (PBE-GGA, relaxed)
# * raw total energy: -0.2741 Ry/atom
# * total moment: 0.00 μB per cell
# * formation energy: -0.20 eV/atom
# * volume: 17.81 Å³/atom
# * mass density: 5.71 g/cm3
data_ScAlGa6
_cell_length_a 6.014
_cell_length_b 6.014
_cell_length_c 3.940
_cell_angle_alpha 90.00
_cell_angle_beta 90.00
_cell_angle_gamma 90.00
_symmetry_space_group_name_H-M 'P 4/m m m'
_symmetry_Int_Tables_number 123
_symmetry_space_group_name_Hall '-P 4 2'
loop_
_atom_site_label
_atom_site_type_symbol
_atom_site_fract_x
_atom_site_fract_y
_atom_site_fract_z
Sc1 Sc 0.000 0.000 0.000
Al1 Al 0.500 0.500 0.000
Ga1 Ga 0.000 0.500 0.000
Ga2 Ga 0.259 0.259 0.500

***

[5]
# CsTa2ReAu (PBE-GGA, relaxed)
# * raw total energy: -0.4972 Ry/atom
# * total moment: 1.48 μB per cell
# * formation energy: 1.29 eV/atom
# * volume: 27.07 Å³/atom
# * mass density: 10.77 g/cm3
data_CsTa2ReAu
_cell_length_a 4.917
_cell_length_b 4.917
_cell_length_c 5.599
_cell_angle_alpha 90.00
_cell_angle_beta 90.00
_cell_angle_gamma 90.00
_symmetry_space_group_name_H-M 'P 4/m m m'
_symmetry_Int_Tables_number 123
_symmetry_space_group_name_Hall '-P 4 2'
loop_
_atom_site_label
_atom_site_type_symbol
_atom_site_fract_x
_atom_site_fract_y
_atom_site_fract_z
Cs1 Cs 0.000 0.000 0.000
Ta1 Ta 0.000 0.500 0.500
Re1 Re 0.500 0.500 0.500
Au1 Au 0.500 0.500 0.000

***

[6]
# CdSb2Pt (PBE-GGA, relaxed)
# * raw total energy: -0.2739 Ry/atom
# * total moment: 0.00 μB per cell
# * volume: 22.48 Å³/atom
# * mass density: 10.17 g/cm3
# * E_form (uncorrected): 73 meV per atom
data_CdSb2Pt
_cell_length_a 5.956
_cell_length_b 7.765
_cell_length_c 3.889
_cell_angle_alpha 90.00
_cell_angle_beta 90.36
_cell_angle_gamma 90.00
_symmetry_space_group_name_H-M 'C 1 2/m 1'
_symmetry_Int_Tables_number 12
loop_
_symmetry_equiv_pos_as_xyz
'x,y,z'
'-x,-y,-z'
'-x,y,-z'
'x,-y,z'
'x+1/2,y+1/2,z'
'-x+1/2,-y+1/2,-z'
'-x+1/2,y+1/2,-z'
'x+1/2,-y+1/2,z'
loop_
_atom_site_label
_atom_site_type_symbol
_atom_site_fract_x
_atom_site_fract_y
_atom_site_fract_z
Cd1 Cd 0.000 0.000 0.000
Sb1 Sb 0.250 0.250 0.500
Pt1 Pt 0.000 0.500 0.000

***

[7]
# Tb3HoCd2 (PBE-GGA, relaxed)
# * raw total energy: -0.2628 Ry/atom
# * total moment: 0.16 μB per cell
# * formation energy: -0.19 eV/atom
# * volume: 28.36 Å³/atom
# * mass density: 8.46 g/cm3
data_Tb3HoCd2
_cell_length_a 3.657
_cell_length_b 3.657
_cell_length_c 12.718
_cell_angle_alpha 90.00
_cell_angle_beta 90.00
_cell_angle_gamma 90.00
_symmetry_space_group_name_H-M 'P 4/m m m'
_symmetry_Int_Tables_number 123
_symmetry_space_group_name_Hall '-P 4 2'
loop_
_atom_site_label
_atom_site_type_symbol
_atom_site_fract_x
_atom_site_fract_y
_atom_site_fract_z
Tb1 Tb 0.000 0.000 0.000
Tb2 Tb 0.000 0.000 0.309
Ho1 Ho 0.500 0.500 0.500
Cd1 Cd 0.500 0.500 0.154

***

[8]
# Ba2TmCu2S4 (PBE-GGA, relaxed)
# * raw total energy: -0.3697 Ry/atom
# * total moment: 0.00 μB per cell
# * volume: 22.28 Å³/atom
# * mass density: 5.79 g/cm3
# * E_form (uncorrected): -1362 meV per atom
data_Ba2TmCu2S4
_cell_length_a 14.689
_cell_length_b 3.963
_cell_length_c 7.334
_cell_angle_alpha 90.00
_cell_angle_beta 110.07
_cell_angle_gamma 90.00
_symmetry_space_group_name_H-M 'C 1 2/m 1'
_symmetry_Int_Tables_number 12
loop_
_symmetry_equiv_pos_as_xyz
'x,y,z'
'-x,-y,-z'
'-x,y,-z'
'x,-y,z'
'x+1/2,y+1/2,z'
'-x+1/2,-y+1/2,-z'
'-x+1/2,y+1/2,-z'
'x+1/2,-y+1/2,z'
loop_
_atom_site_label
_atom_site_type_symbol
_atom_site_fract_x
_atom_site_fract_y
_atom_site_fract_z
Ba1 Ba 0.135 0.000 0.065
Tm1 Tm 0.000 0.000 0.500
Cu1 Cu 0.179 0.500 0.491
S1 S 0.021 0.500 0.259
S2 S 0.198 0.000 0.680

***

[9]
# GaTe2Pd3 (PBE-GGA, relaxed)
# * raw total energy: -0.3274 Ry/atom
# * total moment: 0.00 μB per cell
# * volume: 20.09 Å³/atom
# * mass density: 8.87 g/cm3
# * E_form (uncorrected): -307 meV per atom
data_GaTe2Pd3
_cell_length_a 6.667
_cell_length_b 12.413
_cell_length_c 6.365
_cell_angle_alpha 90.00
_cell_angle_beta 113.72
_cell_angle_gamma 90.00
_symmetry_space_group_name_H-M 'C 1 2/m 1'
_symmetry_Int_Tables_number 12
loop_
_symmetry_equiv_pos_as_xyz
'x,y,z'
'-x,-y,-z'
'-x,y,-z'
'x,-y,z'
'x+1/2,y+1/2,z'
'-x+1/2,-y+1/2,-z'
'-x+1/2,y+1/2,-z'
'x+1/2,-y+1/2,z'
loop_
_atom_site_label
_atom_site_type_symbol
_atom_site_fract_x
_atom_site_fract_y
_atom_site_fract_z
Ga1 Ga 0.000 0.135 0.000
Te1 Te 0.000 0.000 0.500
Te2 Te 0.000 0.313 0.500
Te3 Te 0.000 0.500 0.000
Pd1 Pd 0.217 0.313 0.181
Pd2 Pd 0.223 0.500 0.720

***

[10]
# Cd4CuHg2 (PBE-GGA, relaxed)
# * raw total energy: -0.0764 Ry/atom
# * ΔE to the lowest computed polymorph: 0.111 eV per atom
# * total moment: 0.00 μB per cell
# * formation energy: 0.15 eV/atom
# * volume: 26.70 Å³/atom
# * mass density: 8.12 g/cm3
data_Cd4CuHg2
_cell_length_a 5.055
_cell_length_b 5.055
_cell_length_c 14.626
_cell_angle_alpha 90.00
_cell_angle_beta 90.00
_cell_angle_gamma 90.00
_symmetry_space_group_name_H-M 'I 4/m m m'
_symmetry_Int_Tables_number 139
_symmetry_space_group_name_Hall '-I 4 2'
loop_
_atom_site_label
_atom_site_type_symbol
_atom_site_fract_x
_atom_site_fract_y
_atom_site_fract_z
Cd1 Cd 0.000 0.000 0.176
Cd2 Cd 0.000 0.500 0.000
Cu1 Cu 0.000 0.000 0.000
Hg1 Hg 0.000 0.000 0.368

***

[11]
# Cs2BiPtBr6 (PBE-GGA, relaxed)
# * raw total energy: -0.2289 Ry/atom
# * total moment: 0.00 μB per cell
# * volume: 35.22 Å³/atom
# * mass density: 5.42 g/cm3
# * E_form (uncorrected): -948 meV per atom
data_Cs2BiPtBr6
_cell_length_a 7.949
_cell_length_b 7.949
_cell_length_c 11.149
_cell_angle_alpha 90.00
_cell_angle_beta 90.00
_cell_angle_gamma 90.00
_symmetry_space_group_name_H-M 'I 4/m m m'
_symmetry_Int_Tables_number 139
_symmetry_space_group_name_Hall '-I 4 2'
loop_
_atom_site_label
_atom_site_type_symbol
_atom_site_fract_x
_atom_site_fract_y
_atom_site_fract_z
Cs1 Cs 0.000 0.500 0.250
Bi1 Bi 0.000 0.000 0.000
Pt1 Pt 0.000 0.000 0.500
Br1 Br 0.000 0.000 0.263
Br2 Br 0.239 0.239 0.500

***

[12]
# GaCuHg2Te4 (PBE-GGA, relaxed)
# * raw total energy: -0.2029 Ry/atom
# * total moment: 0.00 μB per cell
# * volume: 32.29 Å³/atom
# * mass density: 6.72 g/cm3
# * E_form (uncorrected): -224 meV per atom
data_GaCuHg2Te4
_cell_length_a 6.404
_cell_length_b 6.404
_cell_length_c 12.595
_cell_angle_alpha 90.00
_cell_angle_beta 90.00
_cell_angle_gamma 90.00
_symmetry_space_group_name_H-M 'I -4'
_symmetry_Int_Tables_number 82
loop_
_symmetry_equiv_pos_as_xyz
'x,y,z'
'y,-x,-z'
'-x,-y,z'
'-y,x,-z'
'x+1/2,y+1/2,z+1/2'
'y+1/2,-x+1/2,-z+1/2'
'-x+1/2,-y+1/2,z+1/2'
'-y+1/2,x+1/2,-z+1/2'
loop_
_atom_site_label
_atom_site_type_symbol
_atom_site_fract_x
_atom_site_fract_y
_atom_site_fract_z
Ga1 Ga 0.000 0.000 0.000
Cu1 Cu 0.000 0.500 0.250
Hg1 Hg 0.000 0.000 0.500
Hg2 Hg 0.000 0.500 0.750
Te1 Te 0.217 0.745 0.129

***

[13]
# Te3PtF (PBE-GGA, relaxed)
# * raw total energy: -0.2391 Ry/atom
# * ΔE to the lowest computed polymorph: 0.000 eV per atom
# * total moment: 0.00 μB per cell
# * volume: 29.17 Å³/atom
# * mass density: 6.79 g/cm3
# * E_form (uncorrected): 215 meV per atom
data_Te3PtF
_cell_length_a 5.264
_cell_length_b 5.264
_cell_length_c 5.264
_cell_angle_alpha 90.00
_cell_angle_beta 90.00
_cell_angle_gamma 90.00
_symmetry_space_group_name_H-M 'P m -3 m'
_symmetry_Int_Tables_number 221
_symmetry_space_group_name_Hall '-P 4 2 3'
loop_
_atom_site_label
_atom_site_type_symbol
_atom_site_fract_x
_atom_site_fract_y
_atom_site_fract_z
Te1 Te 0.000 0.000 0.500
Pt1 Pt 0.000 0.000 0.000
F1 F 0.500 0.500 0.500